# 1
Density functional theory data (PBE) for Sr2SnN after structural relaxation.

```
Sr2SnN
1.0
6.641 0.000 0.000
0.000 3.834 0.000
-3.020 0.000 8.719
Sr Sn N
4 2 2
Cartesian
-0.977 0.958 2.926
1.218 0.958 5.681
2.403 2.875 3.038
4.598 2.875 5.793
2.139 0.958 0.065
1.483 2.875 8.654
0.124 2.875 4.278
3.497 0.958 4.441
```

Values from the calculation:
Calculated total energy, eV per cell: -35.68
Uncorrected formation energy, eV per atom: -0.54

# 2
Density functional theory data (PBE) for LaHg2Bi after structural relaxation.

```
LaHg2Bi
1.0
4.015 0.000 0.000
0.000 4.015 0.000
0.000 0.000 7.097
La Hg Bi
1 2 1
Cartesian
0.000 0.000 0.000
2.008 2.008 1.840
2.008 2.008 5.257
0.000 0.000 3.549
```

Values from the calculation:
Calculated total energy, eV per cell: -10.82
ΔE_f, eV/atom: -0.352

# 3
Density functional theory data (PBE) for LaTb2HgO after structural relaxation.

```
LaTb2HgO
1.0
4.832 0.000 0.000
0.000 4.832 0.000
0.000 0.000 5.004
La Tb Hg O
1 2 1 1
Cartesian
0.000 0.000 0.000
0.000 2.416 2.502
2.416 0.000 2.502
2.416 2.416 0.000
0.000 0.000 2.502
```

Values from the calculation:
Calculated total energy, eV per cell: -26.22
Uncorrected formation energy, eV per atom: -1.35

# 4
Density functional theory data (PBE) for ErSi7Os3 after structural relaxation.

```
ErSi7Os3
1.0
3.824 2.208 6.665
-3.824 2.208 6.665
0.000 -4.415 6.665
Er Si Os
2 14 6
Cartesian
0.000 0.000 0.000
0.000 0.000 9.998
-3.022 -0.928 10.573
-0.707 -3.081 9.422
-0.707 -1.334 7.241
0.000 0.000 4.999
-2.315 2.153 9.422
-0.802 1.280 7.241
-1.509 -0.055 12.754
1.509 0.055 7.241
0.802 -1.280 12.754
2.315 -2.153 10.573
0.000 0.000 14.996
0.707 1.334 12.754
0.707 3.081 10.573
3.022 0.928 9.422
-2.568 -0.033 8.331
-1.256 -2.240 11.664
1.312 -2.208 8.331
-1.312 2.208 11.664
1.256 2.240 8.331
2.568 0.033 11.664
```

Values from the calculation:
Calculated total energy, eV per cell: -162.45
Uncorrected formation energy, eV per atom: -0.46